Tm2MnPt: relaxed, PBE.

```
data_Tm2MnPt
_cell_length_a 3.487
_cell_length_b 3.487
_cell_length_c 6.791
_cell_angle_alpha 90.00
_cell_angle_beta 90.00
_cell_angle_gamma 90.00
_space_group_name_H-M_alt 'P 4/m m m'
_space_group_IT_number 123
_space_group_name_Hall '-P 4 2'
loop_
_atom_site_label
_atom_site_type_symbol
_atom_site_fract_x
_atom_site_fract_y
_atom_site_fract_z
_atom_site_occupancy
Tm1 Tm 0.000 0.000 0.245 1
Mn1 Mn 0.500 0.500 0.500 1
Pt1 Pt 0.500 0.500 0.000 1
```

Output
VASP energy: -6.61 eV/atom
magnetization: 2.93 μB/f.u.
density of states at the Fermi level: 4.30 states/eV per cell



U2MnPt: relaxed, PBE.

```
data_U2MnPt
_cell_length_a 2.9188
_cell_length_b 2.9188
_cell_length_c 29.1381
_cell_angle_alpha 90.00
_cell_angle_beta 90.00
_cell_angle_gamma 120.00
_space_group_name_H-M_alt 'R -3 m'
_space_group_IT_number 166
_space_group_name_Hall '-R 3 2"'
loop_
_atom_site_label
_atom_site_type_symbol
_atom_site_fract_x
_atom_site_fract_y
_atom_site_fract_z
_atom_site_occupancy
U1 U 0.0000 0.0000 0.0934 1
Mn1 Mn 0.0000 0.0000 0.5000 1
Pt1 Pt 0.0000 0.0000 0.0000 1
```

Output
VASP energy: -9.24 eV/atom
magnetization: 0.01 μB/f.u.
density of states at the Fermi level: 23.77 states/eV per cell



U3MnPt12: relaxed, PBE.

```
data_U3MnPt12
_cell_length_a 4.124
_cell_length_b 4.124
_cell_length_c 16.304
_cell_angle_alpha 90.00
_cell_angle_beta 90.00
_cell_angle_gamma 90.00
_space_group_name_H-M_alt 'P 4/m m m'
_space_group_IT_number 123
_space_group_name_Hall '-P 4 2'
loop_
_atom_site_label
_atom_site_type_symbol
_atom_site_fract_x
_atom_site_fract_y
_atom_site_fract_z
_atom_site_occupancy
U1 U 0.000 0.000 0.000 1
U2 U 0.000 0.000 0.260 1
Mn1 Mn 0.000 0.000 0.500 1
Pt1 Pt 0.000 0.500 0.129 1
Pt2 Pt 0.000 0.500 0.381 1
Pt3 Pt 0.500 0.500 0.000 1
Pt4 Pt 0.500 0.500 0.255 1
Pt5 Pt 0.500 0.500 0.500 1
```

Output
VASP energy: -7.86 eV/atom
magnetization: 0.30 μB/f.u.
density of states at the Fermi level: 21.38 states/eV per cell



U2MnPt9: relaxed, PBE.

```
data_U2MnPt9
_cell_length_a 4.112
_cell_length_b 4.112
_cell_length_c 12.113
_cell_angle_alpha 90.00
_cell_angle_beta 90.00
_cell_angle_gamma 90.00
_space_group_name_H-M_alt 'P 4/m m m'
_space_group_IT_number 123
_space_group_name_Hall '-P 4 2'
loop_
_atom_site_label
_atom_site_type_symbol
_atom_site_fract_x
_atom_site_fract_y
_atom_site_fract_z
_atom_site_occupancy
U1 U 0.000 0.000 0.176 1
Mn1 Mn 0.000 0.000 0.500 1
Pt1 Pt 0.000 0.500 0.000 1
Pt2 Pt 0.000 0.500 0.341 1
Pt3 Pt 0.500 0.500 0.171 1
Pt4 Pt 0.500 0.500 0.500 1
```

Output
VASP energy: -7.80 eV/atom
magnetization: 7.35 μB/f.u.
density of states at the Fermi level: 14.99 states/eV per cell



MnV2Pt2: relaxed, PBE.

```
data_MnV2Pt2
_cell_length_a 8.637
_cell_length_b 3.755
_cell_length_c 6.092
_cell_angle_alpha 90.00
_cell_angle_beta 134.18
_cell_angle_gamma 90.00
_space_group_name_H-M_alt 'C 1 2/m 1'
_space_group_IT_number 12
loop_
_space_group_symop_operation_xyz
'x,y,z'
'-x,-y,-z'
'-x,y,-z'
'x,-y,z'
'x+1/2,y+1/2,z'
'-x+1/2,-y+1/2,-z'
'-x+1/2,y+1/2,-z'
'x+1/2,-y+1/2,z'
loop_
_atom_site_label
_atom_site_type_symbol
_atom_site_fract_x
_atom_site_fract_y
_atom_site_fract_z
_atom_site_occupancy
Mn1 Mn 0.000 0.000 0.000 1
V1 V 0.088 0.500 0.795 1
Pt1 Pt 0.205 0.000 0.618 1
```

Output
VASP energy: -8.28 eV/atom
magnetization: 0.95 μB/f.u.
E above lowest polymorph: 0 meV per atom
density of states at the Fermi level: 11.36 states/eV per cell



MnV2Pt4: relaxed, PBE.

```
data_MnV2Pt4
_cell_length_a 7.124
_cell_length_b 7.880
_cell_length_c 3.837
_cell_angle_alpha 90.00
_cell_angle_beta 90.00
_cell_angle_gamma 90.00
_space_group_name_H-M_alt 'C m m m'
_space_group_IT_number 65
_space_group_name_Hall '-C 2 2'
loop_
_atom_site_label
_atom_site_type_symbol
_atom_site_fract_x
_atom_site_fract_y
_atom_site_fract_z
_atom_site_occupancy
Mn1 Mn 0.000 0.000 0.000 1
V1 V 0.000 0.220 0.500 1
Pt1 Pt 0.209 0.500 0.500 1
Pt2 Pt 0.250 0.250 0.000 1
```

Output
VASP energy: -7.69 eV/atom
magnetization: 0.33 μB/f.u.
density of states at the Fermi level: 12.47 states/eV per cell



Q: Which formula does entry 1 have?
A: Tm2MnPt